Below is a geometry-optimized Rb4Cl3O4 structure, with properties calculated at the GGA-PBE level.

Results
For the energy relative to the elements, uncorrected, the calculation gives -1220 meV/atom. Its space group is Immm. The value obtained for the density of states at the Fermi level is 0.54 states/eV per atom. The total energy is -3.878 eV/atom. As for the calculated density: 2.14 g/cm3.

The structure in extended XYZ format:
```
11
Lattice="-2.234 4.057 10.959 2.234 -4.057 10.959 2.234 4.057 -10.959" Properties=species:S:1:pos:R:3 pbc="T T T"
Rb 0.000 0.000 4.238
Rb 0.000 1.848 0.000
Rb 0.000 6.266 0.000
Rb 0.000 0.000 17.680
Cl 2.234 0.000 1.977
Cl 0.000 0.000 10.959
Cl 0.000 4.057 8.982
O 2.234 -0.645 6.220
O 2.234 0.645 6.220
O 0.000 3.412 4.738
O 0.000 4.703 4.738
```

Below is a geometry-optimized Na2SiH2 structure, with properties calculated at the GGA-PBE level.

Results
Its space group is I4/mmm. The value obtained for the density of states at the Fermi level is 0.30 states/eV per atom. The total energy is -2.411 eV/atom. As for the calculated density: 1.63 g/cm3.

The structure in extended XYZ format:
```
5
Lattice="-2.004 2.004 4.823 2.004 -2.004 4.823 2.004 2.004 -4.823" Properties=species:S:1:pos:R:3 pbc="T T T"
Na 0.000 0.000 1.558
Na 0.000 0.000 8.087
Si 0.000 0.000 4.823
H 2.004 0.000 2.411
H 0.000 2.004 2.411
```

Below is a geometry-optimized MgMnSe2N structure, with properties calculated at the GGA-PBE level.

Results
For the energy relative to the elements, uncorrected, the calculation gives -169 meV/atom. The energy relative to the lowest polymorph listed for this composition is 0 meV per atom. Its space group is P4/mmm. The value obtained for the density of states at the Fermi level is 0.24 states/eV per atom. The total energy is -5.380 eV/atom. As for the calculated density: 4.69 g/cm3.

The structure in extended XYZ format:
```
5
Lattice="5.044 0.000 0.000 0.000 5.044 0.000 0.000 0.000 3.493" Properties=species:S:1:pos:R:3 pbc="T T T"
Mg 0.000 0.000 0.000
Mn 2.522 2.522 1.746
Se 0.000 2.522 1.746
Se 2.522 0.000 1.746
N 2.522 2.522 0.000
```

Below is a geometry-optimized CdAg5Hg structure, with properties calculated at the GGA-PBE level.

Results
The energy relative to the lowest polymorph listed for this composition is 0 meV per atom. Its space group is C2/c. The value obtained for the density of states at the Fermi level is 0.20 states/eV per atom. The energy of formation comes out at 0.044 eV/atom. The total energy is -2.167 eV/atom. As for the calculated density: 10.35 g/cm3.

The structure in extended XYZ format:
```
14
Lattice="3.385 -4.028 0.000 3.385 4.028 0.000 -3.269 0.000 10.025" Properties=species:S:1:pos:R:3 pbc="T T T"
Cd 0.934 2.220 7.519
Cd 2.568 -2.220 2.506
Ag -0.539 0.807 5.460
Ag 2.568 2.974 2.506
Ag 1.095 -0.807 0.448
Ag 1.520 0.361 3.497
Ag -0.115 -0.361 8.509
Ag 3.616 0.361 1.516
Ag 1.982 -0.361 6.529
Ag 2.406 0.807 9.578
Ag 0.934 -2.974 7.519
Ag 4.041 -0.807 4.565
Hg 1.693 2.014 0.000
Hg 0.058 -2.014 5.013
```

Below is a geometry-optimized AsRh2I structure, with properties calculated at the GGA-PBE level.

Results
For the energy relative to the elements, uncorrected, the calculation gives 295 meV/atom. The energy relative to the lowest polymorph listed for this composition is 227 meV per atom. Its space group is Fm-3m. The value obtained for the density of states at the Fermi level is 0.98 states/eV per atom. The total energy is -4.931 eV/atom. As for the calculated density: 9.66 g/cm3.

The structure in extended XYZ format:
```
4
Lattice="0.000 3.273 3.273 3.273 0.000 3.273 3.273 3.273 0.000" Properties=species:S:1:pos:R:3 pbc="T T T"
As 0.000 0.000 0.000
Rh 1.636 1.636 1.636
Rh 4.909 4.909 4.909
I 3.273 3.273 3.273
```

Below is a geometry-optimized Ga3SiAs structure, with properties calculated at the GGA-PBE level.

Results
For the energy relative to the elements, uncorrected, the calculation gives 378 meV/atom. The energy relative to the lowest polymorph listed for this composition is 0 meV per atom. Its space group is Pm-3m. The value obtained for the density of states at the Fermi level is 0.25 states/eV per atom. The total energy is -3.453 eV/atom. As for the calculated density: 4.75 g/cm3.

The structure in extended XYZ format:
```
5
Lattice="4.779 0.000 0.000 0.000 4.779 0.000 0.000 0.000 4.779" Properties=species:S:1:pos:R:3 pbc="T T T"
Ga 0.000 0.000 2.390
Ga 0.000 2.390 0.000
Ga 2.390 0.000 0.000
Si 0.000 0.000 0.000
As 2.390 2.390 2.390
```